1.
Compound: CrCo2Ru
Source: Alexandria via LeMat-Bulk
Functional: meta-GGA SCAN
Structure: single point on PBEsol structure

Output
Polymorph energy (0 for the lowest one)   136 meV per atom

Unit cell a=4.9407 b=7.1753 c=2.4981 alpha=90.00 beta=90.00 gamma=90.00
Space group Cmmm (No. 65)
Asymmetric unit:
Cr (0.0000, 0.0000, 0.0000) (multiplicity 2)
Co (0.2500, 0.2500, 0.5000) (multiplicity 4)
Ru (0.0000, 0.5000, 0.0000) (multiplicity 2)

---

2.
Compound: MgBe2W
Source: Alexandria via LeMat-Bulk
Functional: meta-GGA SCAN
Structure: single point on PBEsol structure

Unit cell a=2.7868 b=2.7868 c=6.5541 alpha=90.00 beta=90.00 gamma=90.00
Space group P4/mmm (No. 123)
Asymmetric unit:
Mg (0.0000, 0.0000, 0.0000) (multiplicity 1)
Be (0.5000, 0.5000, 0.2604) (multiplicity 2)
W (0.0000, 0.0000, 0.5000) (multiplicity 1)

---

3.
Compound: ZrZnBr
Source: Alexandria via LeMat-Bulk
Functional: meta-GGA SCAN
Structure: single point on PBEsol structure

Output
Polymorph energy (0 for the lowest one)   83 meV per atom
ΔE_f (raw)   -0.3889 eV/atom

Unit cell a=3.1922 b=3.1922 c=13.0060 alpha=90.00 beta=90.00 gamma=90.00
Space group I4mm (No. 107)
Asymmetric unit:
Zr (0.0000, 0.0000, 0.0000) (multiplicity 2)
Zn (0.0000, 0.0000, 0.3645) (multiplicity 2)
Br (0.0000, 0.0000, 0.6322) (multiplicity 2)

---

4.
Compound: LiCuP2O6
Source: Alexandria via LeMat-Bulk
Functional: meta-GGA SCAN
Structure: single point on PBEsol structure

Output
Polymorph energy (0 for the lowest one)   45 meV per atom
ΔE_f (raw)   -2.0682 eV/atom

Unit cell a=5.0153 b=9.2770 c=5.6026 alpha=90.00 beta=90.00 gamma=90.00
Space group C222 (No. 21)
Asymmetric unit:
Li (0.0000, 0.0000, 0.0000) (multiplicity 2)
Cu (0.0000, 0.5000, 0.0000) (multiplicity 2)
P (0.2500, 0.2500, 0.3281) (multiplicity 4)
O (0.0000, 0.2659, 0.5000) (multiplicity 4)
O (0.2266, 0.1114, 0.1925) (multiplicity 8)

---

Total energy for the records above, in order: -21.727, -20.547, -21.613, -9.646 eV per atom